# Ca2TbUO6

A relaxed structure of Ca2TbUO6 (GGA-PBE, the Alexandria database).

Calculated values
The total magnetization is 1.0 μB per cell. The calculation puts the formation energy (no corrections) at -32.82 eV/f.u. Its energy is -82.49 eV/cell. The space group is R3.

Unit cell a=5.870 b=5.870 c=6.080 alpha=61.13 beta=61.13 gamma=60.00
Sites, in units of the cell vectors:
O1 0.437 0.679 0.772
O2 0.192 0.956 0.258
O3 0.111 0.437 0.772
O4 0.956 0.594 0.258
O5 0.679 0.111 0.772
O6 0.594 0.192 0.258
Tb1 0.812 0.812 0.565
Ca1 0.030 0.030 0.911
Ca2 0.534 0.534 0.398
U1 0.317 0.317 0.050